A relaxed TbPm6DyTh2 crystal. Source: Alexandria, functional PBE-GGA.

abc: 10.4577 8.6917 8.6917
angles: 117.57 97.29 97.29
Fractional coordinates of all 20 atoms:
Pm (0.6178, 0.4924, 0.6908)
Pm (0.0498, 0.1112, 0.7404)
Pm (0.1178, 0.6908, 0.4924)
Pm (0.3266, 0.9825, 0.4244)
Pm (0.8822, 0.3092, 0.5076)
Pm (0.8266, 0.4244, 0.9825)
Pm (0.9502, 0.8888, 0.2596)
Pm (0.6734, 0.0175, 0.5756)
Pm (0.3822, 0.5076, 0.3092)
Pm (0.5498, 0.7404, 0.1112)
Pm (0.1734, 0.5756, 0.0175)
Pm (0.4502, 0.2596, 0.8888)
Dy (0.7500, 0.5979, 0.4021)
Dy (0.2500, 0.4021, 0.5979)
Tb (0.7500, 0.0080, 0.9920)
Tb (0.2500, 0.9920, 0.0080)
Th (0.4560, 0.8189, 0.7373)
Th (0.9560, 0.7373, 0.8189)
Th (0.5440, 0.1811, 0.2627)
Th (0.0440, 0.2627, 0.1811)

Raw total energy ... -5.106 eV/atom
DOS(E_F) ... 30.5 states/eV/cell